1.
This record from the Alexandria database describes an optimized crystal structure of SrCuBiTe3. The functional is PBE-GGA.

a = 4.405 Å, b = 9.427 Å, c = 9.616 Å
α = 101.53°, β = 90.00°, γ = 90.00°
Fractional coordinates of all 12 atoms:
Te 0.750 0.427 0.176
Te 0.750 0.892 0.131
Te 0.250 0.782 0.485
Cu 0.750 0.934 0.434
Bi 0.250 0.662 0.154
Te 0.250 0.108 0.869
Sr 0.750 0.835 0.754
Sr 0.250 0.165 0.246
Cu 0.250 0.066 0.566
Bi 0.750 0.338 0.846
Te 0.250 0.573 0.824
Te 0.750 0.218 0.515

## Properties
The value obtained for the formation energy (no corrections) is -0.652 eV per atom. As for the symmetry: No. 11. The total DFT energy (no corrections) comes out at -3.8327 eV per atom. The calculation puts the calculated volume at 391.3 Å³/cell.

2.
This record from the Alexandria database describes an optimized crystal structure of Be2CrRu2. The functional is PBE-GGA.

a = 6.378 Å, b = 6.378 Å, c = 2.889 Å
α = 90.00°, β = 90.00°, γ = 90.00°
Last column: magnetic moment on the atom in μB.
Fractional coordinates of all 10 atoms:
Ru 0.654 0.154 0.000  -0.13
Be 0.358 0.142 0.500  -0.01
Be 0.642 0.858 0.500  -0.01
Be 0.142 0.642 0.500  -0.01
Ru 0.346 0.846 0.000  -0.13
Cr 0.500 0.500 0.000  0.91
Ru 0.154 0.346 0.000  -0.13
Ru 0.846 0.654 0.000  -0.13
Be 0.858 0.358 0.500  -0.01
Cr 0.000 0.000 0.000  0.91

## Properties
As for the density of states at the Fermi level: 5.87 states/eV per cell. The calculation puts the formation energy at 0.11 eV/atom. As for the symmetry: No. 127. The total DFT energy (no corrections) comes out at -7.0140 eV per atom. The calculation puts the calculated volume at 117.5 Å³/cell. For the energy relative to the lowest polymorph listed for this composition, the calculation gives 352 meV/atom.

3.
This record from the Alexandria database describes an optimized crystal structure of Mg2AlTl. The functional is PBE-GGA.

a = 9.772 Å, b = 9.772 Å, c = 9.772 Å
α = 19.42°, β = 19.42°, γ = 19.42°
Fractional coordinates of all 4 atoms:
Mg 0.495 0.495 0.495
Tl 0.250 0.250 0.250
Al 0.750 0.750 0.750
Mg 0.005 0.005 0.005

## Properties
As for the density of states at the Fermi level: 1.19 states/eV per cell. The calculation puts the formation energy at 0.02 eV/atom. As for the symmetry: No. 166. The total DFT energy (no corrections) comes out at -2.3084 eV per atom. The calculation puts the calculated volume at 90.2 Å³/cell.

4.
This record from the Alexandria database describes an optimized crystal structure of Hf2BiW. The functional is PBE-GGA.

a = 3.598 Å, b = 3.598 Å, c = 6.487 Å
α = 90.00°, β = 90.00°, γ = 90.00°
Fractional coordinates of all 4 atoms:
Hf 0.000 0.000 0.771
Bi 0.500 0.500 0.500
W 0.500 0.500 0.000
Hf 0.000 0.000 0.229

## Properties
As for the density of states at the Fermi level: 3.23 states/eV per cell. The calculation puts the formation energy at 0.04 eV/atom. As for the symmetry: No. 123. The total DFT energy (no corrections) comes out at -9.1477 eV per atom. The calculation puts the calculated volume at 84.0 Å³/cell.